DyAuNO: optimized geometry, PBE-GGA.

**Magnetic moment**: 0.00 Bohr magnetons per cell
**Relative energy among the computed polymorphs**: 0.268 eV/atom
**Space group**: P4/nmm
**E**: -6.224 eV/atom

a = 4.9546 Å, b = 4.9546 Å, c = 4.4981 Å
α = 90.00°, β = 90.00°, γ = 90.00°
Fractional coordinates of all 8 atoms:
Au1 0.5000 0.0000 0.9971
Au2 0.0000 0.5000 0.0029
N1 0.0000 0.5000 0.5029
N2 0.5000 0.0000 0.4971
O1 0.5000 0.5000 0.0000
O2 0.0000 0.0000 0.0000
Dy1 0.0000 0.0000 0.5000
Dy2 0.5000 0.5000 0.5000